Record 1
The following is a DFT calculation (PBE-GGA) of a geometry-optimized UTlCl4 structure.

a b c (Å): 4.3202 7.2060 7.2060
angles (deg): 91.95 90.00 90.00
Last column: magnetic moment on the atom in μB.
Fractional positions:
U 0.0000 0.0000 0.0000  2.90
Tl 0.5000 0.5000 0.5000  0.00
Cl 0.5000 0.8262 0.1738  -0.02
Cl 0.5000 0.1738 0.8262  -0.02
Cl 0.0000 0.2694 0.2694  -0.01
Cl 0.0000 0.7306 0.7306  -0.01

Results
excess energy over the best structure of this formula in the dataset = 0.022 eV per atom
E = -4.950 eV/atom
Fermi-level density of states = 2.12 states/eV per cell
uncorrected formation energy = -1.443 eV/atom

Record 2
The following is a DFT calculation (PBE-GGA) of a geometry-optimized UTlCl4 structure.

a b c (Å): 6.5201 8.3945 8.3088
angles (deg): 114.26 105.72 103.90
Last column: magnetic moment on the atom in μB.
Fractional positions:
U 0.2488 0.9988 0.9976  2.79
U 0.7512 0.0012 0.0024  2.79
Tl 0.3865 0.6367 0.2736  0.00
Tl 0.6135 0.3633 0.7264  0.00
Cl 0.0189 0.2061 0.8761  -0.01
Cl 0.8079 0.7391 0.6843  -0.02
Cl 0.3572 0.6700 0.8761  -0.01
Cl 0.3764 0.9452 0.6842  -0.02
Cl 0.6236 0.0548 0.3158  -0.02
Cl 0.6428 0.3300 0.1239  -0.01
Cl 0.1921 0.2609 0.3157  -0.02
Cl 0.9811 0.7939 0.1239  -0.01

Results
excess energy over the best structure of this formula in the dataset = 0.000 eV per atom
E = -4.973 eV/atom
Fermi-level density of states = 6.79 states/eV per cell
uncorrected formation energy = -1.466 eV/atom

Record 3
The following is a DFT calculation (PBE-GGA) of a geometry-optimized UTl2Cl7 structure.

a b c (Å): 8.4945 9.7120 10.0809
angles (deg): 75.24 65.08 64.07
Last column: magnetic moment on the atom in μB.
Fractional positions:
U 0.8808 0.2500 0.7500  1.15
U 0.1192 0.7500 0.2500  1.15
Tl 0.6320 0.9128 0.6956  0.00
Tl 0.7596 0.4128 0.1956  0.00
Tl 0.2404 0.5872 0.8044  0.00
Tl 0.3680 0.0872 0.3044  0.00
Cl 0.6579 0.5342 0.7908  -0.03
Cl 0.0172 0.0342 0.2908  -0.03
Cl 0.2442 0.8450 0.9801  -0.03
Cl 0.2665 0.1432 0.6198  -0.01
Cl 0.5725 0.2500 0.7500  -0.03
Cl 0.9307 0.3450 0.4801  -0.03
Cl 0.0296 0.3568 0.8802  -0.01
Cl 0.9704 0.6432 0.1198  -0.01
Cl 0.0693 0.6550 0.5199  -0.03
Cl 0.4275 0.7500 0.2500  -0.03
Cl 0.7335 0.8568 0.3802  -0.01
Cl 0.7558 0.1550 0.0199  -0.03
Cl 0.9828 0.9658 0.7092  -0.03
Cl 0.3421 0.4658 0.2092  -0.03

Results
E = -4.264 eV/atom
Fermi-level density of states = 2.52 states/eV per cell
uncorrected formation energy = -1.370 eV/atom

Record 4
The following is a DFT calculation (PBE-GGA) of a geometry-optimized UTl2Cl8 structure.

a b c (Å): 10.3355 8.7138 6.0516
angles (deg): 92.73 90.00 126.37
Last column: magnetic moment on the atom in μB.
Fractional positions:
Tl 0.6068 0.2135 0.2631  0.03
Tl 0.3932 0.7865 0.7369  0.03
U 0.0000 0.0000 0.0000  0.52
Cl 0.9066 0.1552 0.2409  -0.02
Cl 0.2486 0.1552 0.2409  -0.02
Cl 0.0934 0.8448 0.7591  -0.02
Cl 0.4001 0.8002 0.2323  0.07
Cl 0.7514 0.8448 0.7591  -0.02
Cl 0.8584 0.7169 0.2287  -0.02
Cl 0.1416 0.2831 0.7713  -0.02
Cl 0.5999 0.1998 0.7677  0.07

Results
excess energy over the best structure of this formula in the dataset = 0.000 eV per atom
E = -4.076 eV/atom
Fermi-level density of states = 8.31 states/eV per cell
uncorrected formation energy = -1.277 eV/atom

Record 5
The following is a DFT calculation (PBE-GGA) of a geometry-optimized UTl2Cl8 structure.

a b c (Å): 9.1531 7.5866 7.5866
angles (deg): 51.79 91.65 91.65
Last column: magnetic moment on the atom in μB.
Fractional positions:
U 0.0000 0.0000 0.0000  0.34
Tl 0.4906 0.1417 0.1417  0.00
Tl 0.5094 0.8583 0.8583  0.00
Cl 0.1790 0.2028 0.6928  -0.01
Cl 0.1790 0.6928 0.2028  -0.01
Cl 0.8210 0.7972 0.3072  -0.01
Cl 0.4696 0.6581 0.6581  0.00
Cl 0.8210 0.3072 0.7972  -0.01
Cl 0.1176 0.1680 0.1680  -0.01
Cl 0.8824 0.8320 0.8320  -0.01
Cl 0.5304 0.3419 0.3419  0.00

Results
excess energy over the best structure of this formula in the dataset = 0.022 eV per atom
E = -4.054 eV/atom
Fermi-level density of states = 6.64 states/eV per cell
uncorrected formation energy = -1.255 eV/atom

Record 6
The following is a DFT calculation (PBE-GGA) of a geometry-optimized U2Tl5Cl12 structure.

a b c (Å): 8.2705 9.7299 10.5335
angles (deg): 107.41 90.00 115.15
Last column: magnetic moment on the atom in μB.
Fractional positions:
U 0.7498 0.0000 0.0000  2.47
U 0.2502 0.0000 0.0000  2.47
Tl 0.2817 0.5635 0.6198  0.00
Tl 0.3206 0.6413 0.2355  0.00
Tl 0.0000 0.0000 0.5000  0.00
Tl 0.6794 0.3587 0.7645  0.00
Tl 0.7183 0.4365 0.3802  0.00
Cl 0.0064 0.0128 0.1754  -0.02
Cl 0.1008 0.6894 0.9292  -0.03
Cl 0.5886 0.6894 0.9292  -0.03
Cl 0.1099 0.7107 0.4493  0.00
Cl 0.6008 0.7107 0.4493  0.00
Cl 0.4939 0.9878 0.8227  -0.02
Cl 0.5061 0.0122 0.1773  -0.02
Cl 0.8901 0.2893 0.5507  0.00
Cl 0.3992 0.2893 0.5507  0.00
Cl 0.8992 0.3106 0.0708  -0.03
Cl 0.4114 0.3106 0.0708  -0.03
Cl 0.9936 0.9872 0.8246  -0.02

Results
E = -4.303 eV/atom
Fermi-level density of states = 15.20 states/eV per cell
uncorrected formation energy = -1.326 eV/atom

Record 7
The following is a DFT calculation (PBE-GGA) of a geometry-optimized UTlVCl6 structure.

a b c (Å): 6.8002 6.8002 14.3287
angles (deg): 90.00 90.00 120.00
Last column: magnetic moment on the atom in μB.
Fractional positions:
U 0.3333 0.6667 0.2500  2.90
U 0.6667 0.3333 0.7500  2.90
Tl 0.0000 0.0000 0.0000  0.01
Tl 0.0000 0.0000 0.5000  0.01
V 0.6667 0.3333 0.2500  2.59
V 0.3333 0.6667 0.7500  2.59
Cl 0.6499 0.6213 0.1467  -0.02
Cl 0.9714 0.3501 0.1467  -0.02
Cl 0.3501 0.9714 0.6467  -0.02
Cl 0.0286 0.6499 0.8533  -0.02
Cl 0.3787 0.3501 0.3533  -0.02
Cl 0.9714 0.6213 0.3533  -0.02
Cl 0.6213 0.9714 0.8533  -0.02
Cl 0.6499 0.0286 0.3533  -0.02
Cl 0.0286 0.3787 0.6467  -0.02
Cl 0.3787 0.0286 0.1467  -0.02
Cl 0.6213 0.6499 0.6467  -0.02
Cl 0.3501 0.3787 0.8533  -0.02

Results
E = -5.121 eV/atom
Fermi-level density of states = 5.03 states/eV per cell
uncorrected formation energy = -1.360 eV/atom

Record 8
The following is a DFT calculation (PBE-GGA) of a geometry-optimized UTlZn2Cl8 structure.

a b c (Å): 6.5054 6.5054 10.4631
angles (deg): 71.89 71.89 60.00
Last column: magnetic moment on the atom in μB.
Fractional positions:
U 0.0000 0.0000 0.0000  2.90
Tl 0.5000 0.5000 0.5000  0.00
Zn 0.2474 0.2474 0.2577  0.01
Zn 0.7526 0.7526 0.7423  0.01
Cl 0.1722 0.1722 0.4834  0.00
Cl 0.6041 0.2873 0.1691  -0.01
Cl 0.8278 0.8278 0.5166  0.00
Cl 0.9395 0.6041 0.1691  -0.01
Cl 0.0605 0.3959 0.8309  -0.01
Cl 0.2873 0.9395 0.1691  -0.01
Cl 0.7127 0.0605 0.8309  -0.01
Cl 0.3959 0.7127 0.8309  -0.01

Results
E = -3.846 eV/atom
uncorrected formation energy = -1.265 eV/atom

Among the records above, which one has the highest uncorrected formation energy? number 5

Which of these has the lowest uncorrected formation energy? number 2

Number 5 is which compound? UTl2Cl8

Repeat the seventh record exactly.
The following is a DFT calculation (PBE-GGA) of a geometry-optimized UTlVCl6 structure.

a b c (Å): 6.8002 6.8002 14.3287
angles (deg): 90.00 90.00 120.00
Last column: magnetic moment on the atom in μB.
Fractional positions:
U 0.3333 0.6667 0.2500  2.90
U 0.6667 0.3333 0.7500  2.90
Tl 0.0000 0.0000 0.0000  0.01
Tl 0.0000 0.0000 0.5000  0.01
V 0.6667 0.3333 0.2500  2.59
V 0.3333 0.6667 0.7500  2.59
Cl 0.6499 0.6213 0.1467  -0.02
Cl 0.9714 0.3501 0.1467  -0.02
Cl 0.3501 0.9714 0.6467  -0.02
Cl 0.0286 0.6499 0.8533  -0.02
Cl 0.3787 0.3501 0.3533  -0.02
Cl 0.9714 0.6213 0.3533  -0.02
Cl 0.6213 0.9714 0.8533  -0.02
Cl 0.6499 0.0286 0.3533  -0.02
Cl 0.0286 0.3787 0.6467  -0.02
Cl 0.3787 0.0286 0.1467  -0.02
Cl 0.6213 0.6499 0.6467  -0.02
Cl 0.3501 0.3787 0.8533  -0.02

Results
E = -5.121 eV/atom
Fermi-level density of states = 5.03 states/eV per cell
uncorrected formation energy = -1.360 eV/atom